[1]
Zn2RhIO: relaxed, PBE-GGA.

a b c (Å): 3.9201 3.9201 6.3803
angles (deg): 90.00 90.00 90.00
Atoms (fractional coordinates):
1 Zn 0.0000 0.5000 0.0000
2 Zn 0.5000 0.0000 0.0000
3 Rh 0.0000 0.0000 0.5000
4 I 0.5000 0.5000 0.5000
5 O 0.5000 0.5000 0.0000

[2]
ZnRhIO2: relaxed, PBE-GGA.

a b c (Å): 3.8339 3.8339 7.6194
angles (deg): 90.00 90.00 90.00
Atoms (fractional coordinates):
1 Zn 0.0000 0.0000 0.0000
2 Rh 0.5000 0.5000 0.5000
3 I 0.5000 0.5000 0.0000
4 O 0.0000 0.5000 0.5000
5 O 0.5000 0.0000 0.5000

[3]
ZrRhI2O: relaxed, PBE-GGA.

a b c (Å): 5.6449 5.6449 3.7182
angles (deg): 90.00 90.00 90.00
Atoms (fractional coordinates):
1 Zr 0.0000 0.0000 0.0000
2 Rh 0.5000 0.5000 0.5000
3 I 0.0000 0.5000 0.5000
4 I 0.5000 0.0000 0.5000
5 O 0.5000 0.5000 0.0000

no.,uncorrected formation energy (eV/atom),uncorrected energy (Ha/atom),calculated volume (Å³/f.u.)
1,0.085,-0.117,98
2,-0.133,-0.153,112
3,0.003,-0.176,118